Record 1
## RbPmSb (PBE)

Data for a geometry-optimized RbPmSb structure.

Results
* DOS at the Fermi energy: 0.710 states/eV/atom
* distance to the lowest polymorph of the same formula: 0.000 eV per atom
* formation energy (no corrections): -0.564 eV/atom
* symmetry: C2/m (12)

extended XYZ file:
```
6
Lattice="5.165 0.000 0.000 -2.583 4.231 1.422 0.000 -1.263 13.796" Properties=species:S:1:pos:R:3 pbc="T T T"
Sb 0.000 0.814 12.293
Sb 2.583 2.154 2.925
Rb 0.000 2.786 5.715
Rb 2.583 0.182 9.503
Pm 0.000 1.029 1.609
Pm 2.583 1.938 13.608
```

---

Record 2
## CaHo2Tl (PBE)

Data for a geometry-optimized CaHo2Tl structure.

Results
* DOS at the Fermi energy: 1.375 states/eV/atom
* distance to the lowest polymorph of the same formula: 0.051 eV per atom
* formation energy from the elements: -0.080 eV per atom
* symmetry: P4/mmm (123)

extended XYZ file:
```
4
Lattice="3.663 0.000 0.000 0.000 3.663 0.000 0.000 0.000 9.510" Properties=species:S:1:pos:R:3 pbc="T T T"
Ca 1.832 1.832 4.755
Ho 0.000 0.000 7.536
Ho 0.000 0.000 1.974
Tl 1.832 1.832 0.000
```

---

Record 3
## OsPtI2 (PBE)

Data for a geometry-optimized OsPtI2 structure.

Results
* DOS at the Fermi energy: 0.233 states/eV/atom
* distance to the lowest polymorph of the same formula: 0.303 eV per atom
* formation energy (no corrections): 1.310 eV/atom
* symmetry: Fm-3m (225)

extended XYZ file:
```
4
Lattice="0.000 3.440 3.440 3.440 0.000 3.440 3.440 3.440 0.000" Properties=species:S:1:pos:R:3 pbc="T T T"
I 1.720 1.720 1.720
I 5.161 5.161 5.161
Os 0.000 0.000 0.000
Pt 3.440 3.440 3.440
```

---

Record 4
## BeSb2Au (PBE)

Data for a geometry-optimized BeSb2Au structure.

Results
* DOS at the Fermi energy: 0.396 states/eV/atom
* formation energy (no corrections): 0.478 eV/atom
* symmetry: I4/mmm (139)

extended XYZ file:
```
4
Lattice="-4.092 -2.852 1.008 1.552 -4.432 -1.961 2.565 2.811 3.379" Properties=species:S:1:pos:R:3 pbc="T T T"
Sb -1.270 -3.642 -0.476
Sb 0.000 0.000 0.000
Be -1.399 -1.841 1.956
Au 1.423 -2.632 0.471
```

---

Record 5
## KCuSb2Te4 (PBE)

Data for a geometry-optimized KCuSb2Te4 structure.

Results
* DOS at the Fermi energy: 0.137 states/eV/atom
* formation energy (no corrections): -0.280 eV/atom
* symmetry: Cmcm (63)

extended XYZ file:
```
16
Lattice="4.419 0.000 0.000 -2.210 7.449 0.000 0.000 0.000 15.939" Properties=species:S:1:pos:R:3 pbc="T T T"
Sb 0.000 5.440 8.924
Sb 0.000 5.440 14.984
Sb 2.210 2.008 0.954
Sb 2.210 2.008 7.015
Cu 0.000 2.402 3.985
Cu 2.210 5.046 11.954
Te 2.210 3.486 14.189
Te 0.000 0.000 0.000
Te 0.000 6.342 11.954
Te 0.000 0.000 7.969
Te 0.000 3.962 1.750
Te 2.210 1.107 3.985
Te 2.210 3.486 9.719
Te 0.000 3.962 6.220
K 2.210 5.842 3.985
K 0.000 1.607 11.954
```

---

Record 6
## Cr2TcHIr (PBE)

Data for a geometry-optimized Cr2TcHIr structure.

Results
* DOS at the Fermi energy: 1.095 states/eV/atom
* distance to the lowest polymorph of the same formula: 0.000 eV per atom
* symmetry: P4/mmm (123)

extended XYZ file:
```
5
Lattice="-3.038 -1.361 -1.847 2.203 -0.871 -2.980 0.638 -3.420 1.471" Properties=species:S:1:pos:R:3 pbc="T T T"
H 0.000 0.000 0.000
Tc 0.319 -1.710 0.736
Cr 1.101 -0.436 -1.490
Cr -1.519 -0.680 -0.924
Ir -0.099 -2.826 -1.678
```

---

Record 7
## CeCu2Cl6 (PBE)

Data for a geometry-optimized CeCu2Cl6 structure.

Results
* formation energy (no corrections): -1.297 eV/atom
* symmetry: R3 (146)

extended XYZ file:
```
9
Lattice="-3.875 6.492 -1.818 -6.193 0.919 -4.612 -7.258 2.092 1.848" Properties=species:S:1:pos:R:3 pbc="T T T"
Cl -9.088 7.029 -3.843
Cl -8.282 2.413 -0.722
Cl -6.758 3.587 -4.049
Cl -10.916 3.798 -3.630
Cl -6.399 5.759 -0.899
Cl -10.547 5.928 -0.605
Ce -11.561 6.341 -3.057
Cu -6.980 3.828 -1.846
Cu -4.570 2.506 -1.209
```

---

Record 8
## SrInRh3 (PBE)

Data for a geometry-optimized SrInRh3 structure.

Results
* DOS at the Fermi energy: 1.190 states/eV/atom
* distance to the lowest polymorph of the same formula: 0.958 eV per atom
* formation energy from the elements: 1.470 eV per atom
* symmetry: Pm-3m (221)

extended XYZ file:
```
5
Lattice="-3.217 -3.362 -1.747 3.346 -3.596 0.758 -1.777 -0.686 4.591" Properties=species:S:1:pos:R:3 pbc="T T T"
Rh 1.673 -1.798 0.379
Rh -1.608 -1.681 -0.874
Rh -0.888 -0.343 2.295
In -0.824 -3.822 1.801
Sr 0.000 0.000 0.000
```